Record 1
The following is a DFT calculation (PBE) of an optimized crystal structure of SrZrRu2.

ΔH_f (0 K), meV per atom: 575
DOS at the Fermi energy, states/eV/atom: 1.427
SG: R3m, No. 160

Geometry as extended XYZ:
```
4
Lattice="2.375 1.371 3.895 -2.375 1.371 3.895 0.000 -2.742 3.895" Properties=species:S:1:pos:R:3 pbc="T T T"
Sr 0.000 0.000 0.000
Zr 0.000 0.000 8.768
Ru 0.000 0.000 2.912
Ru 0.000 0.000 5.847
```

=====

Record 2
The following is a DFT calculation (PBE) of an optimized crystal structure of BaNa2Bi4.

ΔH_f (0 K), meV per atom: 389
DOS at the Fermi energy, states/eV/atom: 0.997
SG: I4/mmm, No. 139

Geometry as extended XYZ:
```
7
Lattice="-3.143 3.143 8.238 3.143 -3.143 8.238 3.143 3.143 -8.238" Properties=species:S:1:pos:R:3 pbc="T T T"
Ba 0.000 0.000 0.000
Na 0.000 0.000 6.540
Na 0.000 0.000 9.936
Bi 3.143 0.000 0.000
Bi 0.000 0.000 3.394
Bi 0.000 3.143 0.000
Bi 0.000 0.000 13.082
```

=====

Record 3
The following is a DFT calculation (PBE) of an optimized crystal structure of LiPuPd2O6.

DOS at the Fermi energy, states/eV/atom: 0.834
Energy relative to the elements, uncorrected, eV/f.u.: -9.1
SG: P4mm, No. 99

Geometry as extended XYZ:
```
10
Lattice="4.985 0.000 0.000 0.000 4.985 0.000 0.000 0.000 5.100" Properties=species:S:1:pos:R:3 pbc="T T T"
Li 0.000 0.000 0.000
Pu 2.492 2.492 0.752
Pd 0.000 2.492 3.163
Pd 2.492 0.000 3.163
O 0.000 0.000 3.240
O 1.208 1.208 0.791
O 1.208 3.777 0.791
O 2.492 2.492 3.257
O 3.777 1.208 0.791
O 3.777 3.777 0.791
```

=====

Record 4
The following is a DFT calculation (PBE) of an optimized crystal structure of LiPm2Pb5.

ΔH_f (0 K), meV per atom: -408
DOS at the Fermi energy, states/eV/atom: 0.428
SG: Pbam, No. 55

Geometry as extended XYZ:
```
16
Lattice="6.857 0.000 0.000 0.000 13.501 0.000 0.000 0.000 4.854" Properties=species:S:1:pos:R:3 pbc="T T T"
Li 0.000 0.000 0.000
Li 3.429 6.750 0.000
Pm 1.469 4.926 2.427
Pm 1.960 11.676 2.427
Pm 4.897 1.825 2.427
Pm 5.389 8.575 2.427
Pb 0.000 6.750 0.000
Pb 0.180 10.241 0.000
Pb 1.460 1.506 2.427
Pb 1.968 8.256 2.427
Pb 3.249 3.491 0.000
Pb 3.429 0.000 0.000
Pb 3.608 10.010 0.000
Pb 4.889 5.245 2.427
Pb 5.397 11.995 2.427
Pb 6.678 3.260 0.000
```

=====

Record 5
The following is a DFT calculation (PBE) of an optimized crystal structure of NiIr2Os.

Offset from the most stable computed form, eV/atom: 0.012
ΔH_f (0 K), meV per atom: 17
DOS at the Fermi energy, states/eV/atom: 1.232
SG: P4/mmm, No. 123

Geometry as extended XYZ:
```
4
Lattice="2.723 0.000 0.000 0.000 2.723 0.000 0.000 0.000 7.387" Properties=species:S:1:pos:R:3 pbc="T T T"
Ni 0.000 0.000 0.000
Ir 1.361 1.361 1.807
Ir 1.361 1.361 5.580
Os 0.000 0.000 3.694
```

=====

Record 6
The following is a DFT calculation (PBE) of an optimized crystal structure of Ba2Zn6AgRh.

ΔH_f (0 K), meV per atom: -199
DOS at the Fermi energy, states/eV/atom: 0.571
SG: Immm, No. 71

Geometry as extended XYZ:
```
10
Lattice="-3.515 3.528 4.977 3.515 -3.528 4.977 3.515 3.528 -4.977" Properties=species:S:1:pos:R:3 pbc="T T T"
Ba 0.000 0.000 2.488
Ba 0.000 0.000 7.467
Zn 3.515 0.000 2.543
Zn 1.721 1.803 0.000
Zn 1.794 -1.725 4.977
Zn 1.721 5.253 0.000
Zn 1.794 1.725 4.977
Zn 0.000 3.528 2.434
Ag 3.515 0.000 0.000
Rh 0.000 3.528 0.000
```

=====

Record 7
The following is a DFT calculation (PBE) of an optimized crystal structure of CaPu2NpN4.

DOS at the Fermi energy, states/eV/atom: 2.525
Energy relative to the elements, uncorrected, eV/f.u.: -8.9
SG: P2/m, No. 10

Geometry as extended XYZ:
```
8
Lattice="5.998 0.000 0.000 0.000 3.479 0.000 -1.987 0.000 5.686" Properties=species:S:1:pos:R:3 pbc="T T T"
Ca 0.000 0.000 0.000
Pu -0.994 1.739 2.843
Pu 2.005 0.000 2.843
Np 2.999 1.739 0.000
N 0.098 0.000 4.308
N 1.170 1.739 1.459
N 2.840 1.739 4.227
N 3.912 0.000 1.378
```

=====

Record 8
The following is a DFT calculation (PBE) of an optimized crystal structure of PrNd8Rh2.

ΔH_f (0 K), meV per atom: -190
DOS at the Fermi energy, states/eV/atom: 1.340
SG: C2/m, No. 12

Geometry as extended XYZ:
```
11
Lattice="4.426 -6.993 0.000 4.426 6.993 0.000 -1.163 0.000 5.657" Properties=species:S:1:pos:R:3 pbc="T T T"
Pr 0.000 0.000 0.000
Nd 1.156 1.787 3.236
Nd 4.426 3.404 0.000
Nd 1.156 -1.787 3.236
Nd 3.329 0.000 1.155
Nd 4.361 0.000 4.502
Nd 6.533 1.787 2.420
Nd 4.426 -3.404 0.000
Nd 6.533 -1.787 2.420
Rh 3.845 2.819 2.828
Rh 3.845 -2.819 2.828
```